An optimized crystal structure of Sc4AgRu. Source: Alexandria, functional GGA-PBE.

Output
Mass density: 5.4 Mg/m³
Calculated volume: 120 Å³ per cell
Calculated formation energy: 0.435 eV/atom
Space-group type: F-43m (216)
Total energy: -5.8071 eV/atom

The structure in extended XYZ format:
```
6
Lattice="0.000 3.913 3.913 3.913 0.000 3.913 3.913 3.913 0.000" Properties=species:S:1:pos:R:3 pbc="T T T"
Sc 2.948 2.948 2.948
Sc 4.877 4.877 2.948
Sc 4.877 2.948 4.877
Sc 2.948 4.877 4.877
Ag 0.000 0.000 0.000
Ru 5.869 5.869 5.869
```